Compound: MnCdPO2
Source: Alexandria via LeMat-Bulk
Functional: PBE with a Hubbard U
Structure: relaxed

Cell and atoms, written as POSCAR:
```
MnCdPO2
1.0
-3.037 -1.626 -2.224
1.325 -3.764 0.942
-3.065 -0.027 4.205
P Mn O Cd
1 1 2 1
Cartesian
-1.532 -0.014 2.103
-2.388 -2.709 1.462
0.663 -1.882 0.471
-1.519 -0.813 -1.112
0.000 0.000 0.000
```

- Density of states at the Fermi level: 4.6 states/eV/cell
- Polymorph energy (0 for the lowest one): 3.72 eV per formula unit
- Space-group type: P4/mmm, No. 123